No. 1
An optimized crystal structure of ZrTeAs2. Source: Alexandria, functional PBE.

Geometry as POSCAR:
```
ZrTeAs2
1.0
3.7515 0.0000 0.0000
0.0000 3.7824 -0.2094
0.0000 0.9638 7.6392
As Te Zr
2 1 1
Cartesian
0.0000 3.3479 0.3308 As
1.8757 1.3103 0.3692 As
0.0000 2.1298 4.5008 Te
1.8757 4.1137 5.7345 Zr
```

## Properties
Its total magnetic moment is 0.00 μB per formula unit. The formation energy from raw total energies is -0.590 eV per atom. As for the total energy: -5.84 eV/atom.

No. 2
An optimized crystal structure of WBr2. Source: Alexandria, functional PBE.

Geometry as POSCAR:
```
WBr2
1.0
3.2518 0.0000 0.0000
0.0000 6.3181 0.0000
0.0000 0.0000 6.4324
W Br
2 4
Cartesian
0.0000 0.0000 0.0000 W
1.6259 3.1591 3.2162 W
0.0000 1.3843 4.2356 Br
0.0000 4.9338 2.1967 Br
1.6259 4.5434 5.4129 Br
1.6259 1.7747 1.0195 Br
```

## Properties
Its total magnetic moment is 0.00 μB per formula unit. The offset from the most stable computed form is 0.898 eV per atom. The formation energy from raw total energies is 0.431 eV per atom. As for the total energy: -5.00 eV/atom.

No. 3
An optimized crystal structure of CrInPtCl2. Source: Alexandria, functional PBE.

Geometry as POSCAR:
```
CrInPtCl2
1.0
-1.2934 4.0043 -2.6535
0.9586 -2.5858 -4.3694
-4.7141 -1.5861 -0.0956
Cr Cl Pt In
1 2 1 1
Cartesian
0.4793 -1.2929 -2.1847 Cr
-2.3571 -0.7930 -0.0478 Cl
-0.6467 2.0021 -1.3267 Cl
0.0000 0.0000 0.0000 Pt
-2.5245 -0.0838 -3.5593 In
```

## Properties
Its total magnetic moment is 5.31 μB per formula unit. The formation energy from raw total energies is 0.208 eV per atom. As for the total energy: -4.21 eV/atom.

No. 4
An optimized crystal structure of KFe3Bi. Source: Alexandria, functional PBE.

Geometry as POSCAR:
```
KFe3Bi
1.0
4.7138 0.0000 0.0000
0.0000 4.7138 0.0000
0.0000 0.0000 4.7138
K Bi Fe
1 1 3
Cartesian
0.0000 0.0000 0.0000 K
2.3569 2.3569 2.3569 Bi
0.0000 2.3569 0.0000 Fe
0.0000 0.0000 2.3569 Fe
2.3569 0.0000 0.0000 Fe
```

## Properties
Its total magnetic moment is 8.28 μB per formula unit. The offset from the most stable computed form is 0.862 eV per atom. As for the total energy: -3.91 eV/atom.

No. 5
An optimized crystal structure of NaMnPdPt. Source: Alexandria, functional PBE.

Geometry as POSCAR:
```
NaMnPdPt
1.0
-2.9671 -2.7271 -1.9810
1.3015 -2.6621 -3.3741
0.2695 -4.4396 0.6185
Na Mn Pd Pt
1 1 1 1
Cartesian
-0.6981 -4.9144 -2.3683 Na
0.0000 0.0000 0.0000 Mn
-0.3490 -2.4572 -1.1842 Pd
-1.0471 -7.3716 -3.5525 Pt
```

## Properties
Its total magnetic moment is 4.51 μB per formula unit. As for the total energy: -5.53 eV/atom.

No. 6
An optimized crystal structure of Pr6Sm4Tm. Source: Alexandria, functional PBE.

Geometry as POSCAR:
```
Pr6Sm4Tm
1.0
-6.7124 -5.8720 -4.5149
9.0823 -0.3736 4.1587
2.1302 3.8796 8.9629
Pr Sm Tm
6 4 1
Cartesian
8.3257 1.4558 7.4328 Pr
5.8430 2.9746 9.1484 Pr
3.7330 -0.1802 5.5615 Pr
1.1849 -3.1228 -0.1781 Pr
-2.1893 -3.1103 -0.4146 Pr
-2.2911 -0.9962 2.2240 Pr
5.8040 -0.1947 2.7463 Sm
1.5614 -0.9254 3.0788 Sm
1.4566 2.4650 5.7506 Sm
6.8904 -0.2049 10.1524 Sm
0.0000 0.0000 0.0000 Tm
```

## Properties
Its total magnetic moment is 0.00 μB per formula unit. The offset from the most stable computed form is 0.000 eV per atom. As for the total energy: -4.45 eV/atom.

Question: Which value of total magnetic moment does entry 3 give?
Answer: 5.31 μB per formula unit